The following is a PBE calculation of an optimized crystal structure of Zn5Ag5Au, from Alexandria via LeMat-Bulk.

Geometry as POSCAR:
```
Zn5Ag5Au
1.0
-1.250 2.737 3.819
4.792 -5.956 2.743
3.196 4.277 -2.019
Ag Zn Au
5 5 1
direct
0.677 0.354 0.679 Ag
0.000 0.000 0.500 Ag
0.316 0.632 0.813 Ag
0.684 0.368 0.187 Ag
0.323 0.646 0.321 Ag
0.845 0.689 0.593 Zn
0.500 0.000 0.000 Zn
0.844 0.689 0.096 Zn
0.156 0.311 0.904 Zn
0.155 0.311 0.407 Zn
0.000 0.000 0.000 Au
```

Summary:
**Calculated formation energy**: 0.048 eV/atom
**V**: 18.3 A^3/atom
**Symmetry**: C2/m (12)

***

The following is a PBE calculation of an optimized crystal structure of Zn8Ag3Au3, from Alexandria via LeMat-Bulk.

Geometry as POSCAR:
```
Zn8Ag3Au3
1.0
4.660 -0.268 0.535
0.771 7.001 3.732
-0.074 0.712 7.939
Zn Ag Au
8 3 3
direct
0.135 0.475 0.144 Zn
0.865 0.525 0.856 Zn
0.865 0.856 0.525 Zn
0.612 0.626 0.116 Zn
0.388 0.884 0.374 Zn
0.612 0.116 0.626 Zn
0.388 0.374 0.884 Zn
0.135 0.144 0.475 Zn
0.500 0.000 0.000 Ag
0.000 0.745 0.255 Ag
0.000 0.255 0.745 Ag
0.356 0.769 0.769 Au
0.644 0.231 0.231 Au
0.500 0.500 0.500 Au
```

Summary:
**Calculated formation energy**: 0.018 eV/atom
**V**: 17.8 A^3/atom
**Symmetry**: C2/m (12)